Cd2InFeO4 | PBE with a Hubbard U | optimized geometry

abc: 6.1490 6.1490 6.1490
angles: 131.19 131.19 71.51
Atoms (fractional coordinates):
Cd (0.2500, 0.7500, 0.5000)
Cd (0.7500, 0.2500, 0.5000)
In (0.0000, 0.0000, 0.0000)
Fe (0.5000, 0.5000, 0.0000)
O (0.1453, 0.1453, 0.5109)
O (0.3656, 0.8547, 0.0000)
O (0.6344, 0.6344, 0.4891)
O (0.8547, 0.3656, 0.0000)

Results
DOS at the Fermi energy = 0.116 states/eV/atom
E_tot = -39.15 eV/cell
symmetry = I-42m, No. 121
density = 5.92 g/cm3
magnetic moment = 4.00 μB/f.u.